Computed, not measured: In6SbF8 after structural relaxation at the PBE-GGA level of DFT.

Structure (CIF):
```
data_In6SbF8
_space_group_name_H-M_alt 'R -3'
_space_group_IT_number 148
_space_group_name_Hall '-R 3'
_cell_length_a 6.7513
_cell_length_b 6.7513
_cell_length_c 21.9859
_cell_angle_alpha 90.00
_cell_angle_beta 90.00
_cell_angle_gamma 120.00
loop_
_atom_site_label
_atom_site_type_symbol
_atom_site_fract_x
_atom_site_fract_y
_atom_site_fract_z
In1 In 0.0035 0.3051 0.2423
Sb1 Sb 0.0000 0.0000 0.0000
F1 F 0.0000 0.0000 0.4078
F2 F 0.0425 0.2754 0.1402
```

* formation energy (no corrections): -1716.5 meV/atom
* theoretical density: 5.53 Mg/m³
* D(E_F): 11.3 states/eV/cell

---

Computed, not measured: In3SbF after structural relaxation at the PBE-GGA level of DFT.

Structure (CIF):
```
data_In3SbF
_space_group_name_H-M_alt 'P m -3 m'
_space_group_IT_number 221
_space_group_name_Hall '-P 4 2 3'
_cell_length_a 5.0824
_cell_length_b 5.0824
_cell_length_c 5.0824
_cell_angle_alpha 90.00
_cell_angle_beta 90.00
_cell_angle_gamma 90.00
loop_
_atom_site_label
_atom_site_type_symbol
_atom_site_fract_x
_atom_site_fract_y
_atom_site_fract_z
In1 In 0.0000 0.0000 0.5000
Sb1 Sb 0.5000 0.5000 0.5000
F1 F 0.0000 0.0000 0.0000
```

* formation energy (no corrections): -496.0 meV/atom
* polymorph energy (0 for the lowest one): 0.0 meV/atom
* theoretical density: 6.14 Mg/m³
* D(E_F): 4.8 states/eV/cell

---

Computed, not measured: In2Sb2F after structural relaxation at the PBE-GGA level of DFT.

Structure (CIF):
```
data_In2Sb2F
_space_group_name_H-M_alt 'P 4/m b m'
_space_group_IT_number 127
_space_group_name_Hall '-P 4 2ab'
_cell_length_a 6.4946
_cell_length_b 6.4946
_cell_length_c 5.9516
_cell_angle_alpha 90.00
_cell_angle_beta 90.00
_cell_angle_gamma 90.00
loop_
_atom_site_label
_atom_site_type_symbol
_atom_site_fract_x
_atom_site_fract_y
_atom_site_fract_z
In1 In 0.1625 0.3375 0.0000
Sb1 Sb 0.2448 0.2552 0.5000
F1 F 0.0000 0.0000 0.0000
```

* formation energy (no corrections): -578.0 meV/atom
* theoretical density: 6.51 Mg/m³
* D(E_F): 2.8 states/eV/cell

---

Computed, not measured: InSbF4 after structural relaxation at the PBE-GGA level of DFT.

Structure (CIF):
```
data_InSbF4
_space_group_name_H-M_alt 'P n m a'
_space_group_IT_number 62
_cell_length_a 10.7140
_cell_length_b 6.2007
_cell_length_c 7.4944
_cell_angle_alpha 90.00
_cell_angle_beta 90.00
_cell_angle_gamma 90.00
loop_
_space_group_symop_operation_xyz
'x,y,z'
'-x,-y,-z'
'-x+1/2,-y,z+1/2'
'x+1/2,y,-z+1/2'
'x+1/2,-y+1/2,-z+1/2'
'-x+1/2,y+1/2,z+1/2'
'-x,y+1/2,-z'
'x,-y+1/2,z'
loop_
_atom_site_label
_atom_site_type_symbol
_atom_site_fract_x
_atom_site_fract_y
_atom_site_fract_z
In1 In 0.2474 0.2500 0.2109
Sb1 Sb 0.0130 0.2500 0.7442
F1 F 0.0698 0.7500 0.5162
F2 F 0.1068 0.0032 0.8656
F3 F 0.1630 0.2500 0.5938
```

* formation energy (no corrections): -2089.3 meV/atom
* polymorph energy (0 for the lowest one): 45.1 meV/atom
* theoretical density: 4.17 Mg/m³
* D(E_F): 0.0 states/eV/cell

---

Computed, not measured: InSbF4 after structural relaxation at the PBE-GGA level of DFT.

Structure (CIF):
```
data_InSbF4
_space_group_name_H-M_alt 'P m n 21'
_space_group_IT_number 31
_cell_length_a 6.0785
_cell_length_b 7.3463
_cell_length_c 5.4570
_cell_angle_alpha 90.00
_cell_angle_beta 90.00
_cell_angle_gamma 90.00
loop_
_space_group_symop_operation_xyz
'x,y,z'
'-x+1/2,-y,z+1/2'
'-x,y,z'
'x+1/2,-y,z+1/2'
loop_
_atom_site_label
_atom_site_type_symbol
_atom_site_fract_x
_atom_site_fract_y
_atom_site_fract_z
In1 In 0.0000 0.0596 0.0000
Sb1 Sb 0.0000 0.5965 0.4691
F1 F 0.0000 0.3858 0.2173
F2 F 0.0000 0.8739 0.5902
F3 F 0.2329 0.6939 0.2494
```

* formation energy (no corrections): -2134.3 meV/atom
* polymorph energy (0 for the lowest one): 0.0 meV/atom
* theoretical density: 4.26 Mg/m³
* D(E_F): 0.0 states/eV/cell

---

Computed, not measured: In3SbF after structural relaxation at the PBE-GGA level of DFT.

Structure (CIF):
```
data_In3SbF
_space_group_name_H-M_alt 'P m -3 m'
_space_group_IT_number 221
_space_group_name_Hall '-P 4 2 3'
_cell_length_a 5.8480
_cell_length_b 5.8480
_cell_length_c 5.8480
_cell_angle_alpha 90.00
_cell_angle_beta 90.00
_cell_angle_gamma 90.00
loop_
_atom_site_label
_atom_site_type_symbol
_atom_site_fract_x
_atom_site_fract_y
_atom_site_fract_z
In1 In 0.0000 0.0000 0.5000
Sb1 Sb 0.0000 0.0000 0.0000
F1 F 0.5000 0.5000 0.5000
```

* formation energy (no corrections): 71.4 meV/atom
* polymorph energy (0 for the lowest one): 567.4 meV/atom
* theoretical density: 4.03 Mg/m³
* D(E_F): 3.8 states/eV/cell

---

Computed, not measured: ScInSbF2 after structural relaxation at the PBE-GGA level of DFT.

Structure (CIF):
```
data_ScInSbF2
_space_group_name_H-M_alt 'P 4/m m m'
_space_group_IT_number 123
_space_group_name_Hall '-P 4 2'
_cell_length_a 4.2152
_cell_length_b 4.2152
_cell_length_c 6.0377
_cell_angle_alpha 90.00
_cell_angle_beta 90.00
_cell_angle_gamma 90.00
loop_
_atom_site_label
_atom_site_type_symbol
_atom_site_fract_x
_atom_site_fract_y
_atom_site_fract_z
Sc1 Sc 0.0000 0.0000 0.0000
In1 In 0.5000 0.5000 0.5000
Sb1 Sb 0.0000 0.0000 0.5000
F1 F 0.0000 0.5000 0.0000
```

* formation energy (no corrections): -2083.0 meV/atom
* theoretical density: 4.95 Mg/m³
* D(E_F): 1.5 states/eV/cell

---

Computed, not measured: SrIn2SbF after structural relaxation at the PBE-GGA level of DFT.

Structure (CIF):
```
data_SrIn2SbF
_space_group_name_H-M_alt 'P 4/m m m'
_space_group_IT_number 123
_space_group_name_Hall '-P 4 2'
_cell_length_a 5.9268
_cell_length_b 5.9268
_cell_length_c 6.3631
_cell_angle_alpha 90.00
_cell_angle_beta 90.00
_cell_angle_gamma 90.00
loop_
_atom_site_label
_atom_site_type_symbol
_atom_site_fract_x
_atom_site_fract_y
_atom_site_fract_z
Sr1 Sr 0.0000 0.0000 0.0000
In1 In 0.0000 0.5000 0.5000
Sb1 Sb 0.0000 0.0000 0.5000
F1 F 0.5000 0.5000 0.0000
```

* formation energy (no corrections): -281.9 meV/atom
* theoretical density: 3.40 Mg/m³
* D(E_F): 3.0 states/eV/cell

---

Computed, not measured: SrInSb2F after structural relaxation at the PBE-GGA level of DFT.

Structure (CIF):
```
data_SrInSb2F
_space_group_name_H-M_alt 'P 4/m m m'
_space_group_IT_number 123
_space_group_name_Hall '-P 4 2'
_cell_length_a 6.0180
_cell_length_b 6.0180
_cell_length_c 6.8958
_cell_angle_alpha 90.00
_cell_angle_beta 90.00
_cell_angle_gamma 90.00
loop_
_atom_site_label
_atom_site_type_symbol
_atom_site_fract_x
_atom_site_fract_y
_atom_site_fract_z
Sr1 Sr 0.0000 0.0000 0.0000
In1 In 0.0000 0.0000 0.5000
Sb1 Sb 0.0000 0.5000 0.0000
F1 F 0.5000 0.5000 0.5000
```

* formation energy (no corrections): 419.1 meV/atom
* theoretical density: 3.09 Mg/m³
* D(E_F): 7.8 states/eV/cell

---

Computed, not measured: TlInSbF2 after structural relaxation at the PBE-GGA level of DFT.

Structure (CIF):
```
data_TlInSbF2
_space_group_name_H-M_alt 'P 4/m m m'
_space_group_IT_number 123
_space_group_name_Hall '-P 4 2'
_cell_length_a 4.4558
_cell_length_b 4.4558
_cell_length_c 6.3480
_cell_angle_alpha 90.00
_cell_angle_beta 90.00
_cell_angle_gamma 90.00
loop_
_atom_site_label
_atom_site_type_symbol
_atom_site_fract_x
_atom_site_fract_y
_atom_site_fract_z
Tl1 Tl 0.0000 0.0000 0.0000
In1 In 0.5000 0.5000 0.0000
Sb1 Sb 0.5000 0.5000 0.5000
F1 F 0.0000 0.5000 0.5000
```

* formation energy (no corrections): -1078.6 meV/atom
* theoretical density: 6.31 Mg/m³
* D(E_F): 1.5 states/eV/cell

---

Question: Which of these has the lowest theoretical density?
Answer: SrInSb2F